(1)
The following is a DFT calculation (GGA-PBE) of an optimized crystal structure of SiSeN2.

- ΔE to the lowest computed polymorph (eV per atom) = 0.273
- space group = I-42d (122)
- DOS(E_F) (states/eV per cell) = 1.33
- E_tot (eV for the cell shown) = -49.054
- formation energy from raw total energies (eV per atom) = 0.2578

Cell lengths 5.3553, 5.3553, 5.3553 Å; angles 124.88, 124.88, 81.74 degrees
Closest atoms and distances in Å follow each position.
Element x y z (fractional)
Si  0.0000  0.0000  0.0000  4 N 1.74
Si  0.7500  0.2500  0.5000  4 N 1.74
Se  0.2500  0.7500  0.5000  4 N 2.40
Se  0.5000  0.5000  0.0000  4 N 2.40
N  0.0139  0.6250  0.8889  2 Si 1.74
N  0.3750  0.2639  0.3889  2 Si 1.74
N  0.7361  0.1250  0.1111  2 Si 1.74
N  0.8750  0.9861  0.6111  2 Si 1.74


(2)
The following is a DFT calculation (GGA-PBE) of an optimized crystal structure of Pr2Er3Hg3.

- energy of formation from the pure elements (eV per atom) = -0.34
- space group = Immm (71)
- DOS(E_F) (states/eV per cell) = 6.55
- E_tot (eV for the cell shown) = -26.841

Cell lengths 11.7140, 11.7140, 11.7140 Å; angles 161.46, 154.03, 32.10 degrees
Closest atoms and distances in Å follow each position.
Element x y z (fractional)
Pr  0.2295  0.2295  0.0000  2 Hg 3.26, 4 Pr 3.37
Pr  0.7705  0.7705  0.0000  2 Hg 3.26, 4 Pr 3.37
Er  0.0000  0.0000  0.0000  8 Hg 3.14-3.24
Er  0.3832  0.8832  0.5000  6 Hg 3.24
Er  0.6168  0.1168  0.5000  6 Hg 3.24
Hg  0.1116  0.6116  0.5000  6 Er 3.14-3.24, 2 Pr 3.26
Hg  0.5000  0.5000  0.0000  8 Er 3.24
Hg  0.8884  0.3884  0.5000  6 Er 3.14-3.24, 2 Pr 3.26